Record 1
A plane-wave DFT calculation with PBE-GGA was carried out for crystalline ThScAl4 at its relaxed geometry.

E above lowest polymorph = 0 meV/atom
Energy of formation from the pure elements = -0.420 eV per atom
Magnetic moment = 0.00 μB per atom

```
ThScAl4
1.0
0.0000 3.9271 3.9271
3.9271 0.0000 3.9271
3.9271 3.9271 0.0000
Th Sc Al
1 1 4
Direct
0.0000 0.0000 0.0000
0.2500 0.2500 0.2500
0.1253 0.6249 0.6249
0.6249 0.1253 0.6249
0.6249 0.6249 0.1253
0.6249 0.6249 0.6249
```

=====

Record 2
A plane-wave DFT calculation with PBE-GGA was carried out for crystalline CoRuCl3 at its relaxed geometry.

E above lowest polymorph = 149 meV/atom
Formation energy (no corrections) = -0.10 eV/atom
Magnetic moment = 0.40 μB per atom

```
CoRuCl3
1.0
3.0659 1.7701 5.4687
-3.0659 1.7701 5.4687
0.0000 -3.5402 5.4687
Co Ru Cl
2 2 6
Direct
0.1456 0.1456 0.1456
0.8544 0.8544 0.8544
0.3403 0.3403 0.3403
0.6597 0.6597 0.6597
0.0660 0.4381 0.7443
0.2557 0.9340 0.5619
0.4381 0.7443 0.0660
0.5619 0.2557 0.9340
0.7443 0.0660 0.4381
0.9340 0.5619 0.2557
```

=====

Record 3
A plane-wave DFT calculation with PBE-GGA was carried out for crystalline Pa2B5Ir at its relaxed geometry.

Energy of formation from the pure elements = -0.521 eV per atom
Magnetic moment = 0.00 μB per atom

```
Pa2B5Ir
1.0
-2.5405 2.5405 3.8558
2.5405 -2.5405 3.8558
2.5405 2.5405 -3.8558
Pa B Ir
2 5 1
Direct
0.0000 0.5000 0.5000
0.5000 0.0000 0.5000
0.0773 0.0773 0.6421
0.0773 0.4352 0.0000
0.4210 0.4210 0.0000
0.4352 0.0773 0.0000
0.4352 0.4352 0.3579
0.7349 0.7349 0.0000
```

=====

Record 4
A plane-wave DFT calculation with PBE-GGA was carried out for crystalline SmZnCuP2 at its relaxed geometry.

Energy of formation from the pure elements = -0.764 eV per atom
Magnetic moment = 0.00 μB per atom

```
SmZnCuP2
1.0
4.0151 0.0000 0.0000
-2.0075 3.4772 0.0000
0.0000 0.0000 6.6348
Sm Zn Cu P
1 1 1 2
Direct
0.0000 0.0000 0.0000
0.6667 0.3333 0.6112
0.3333 0.6667 0.3425
0.3333 0.6667 0.7245
0.6667 0.3333 0.2468
```